Record 1
CdCo2Tc: optimized geometry, PBE.

Its calculated volume is 56.99 Å³ per cell. The calculated formation energy is 0.49 eV/atom. For the uncorrected energy, the calculation gives -5.886 eV/atom. The calculation puts the total magnetic moment at 3.9 μB/cell. As for the symmetry: No. 10.

a = 2.6402 Å, b = 4.9692 Å, c = 5.3382 Å
α = 54.46°, β = 90.00°, γ = 90.00°
Positions (direct):
Cd: 0.0000 0.0000 0.5000
Co: 0.0000 0.0000 0.0000
Co: 0.5000 0.5000 0.0000
Tc: 0.5000 0.5000 0.5000

Record 2
DyErO: optimized geometry, PBE.

Its calculated volume is 60.58 Å³ per cell. The energy above the most stable polymorph in this dataset comes out at 4 meV/atom. For the uncorrected energy, the calculation gives -6.511 eV/atom. The calculation puts the total magnetic moment at 0.0 μB/cell. The calculation puts the uncorrected formation energy at -5.4 eV/f.u. As for the symmetry: No. 156.

a = 3.5094 Å, b = 3.5094 Å, c = 5.6803 Å
α = 90.00°, β = 90.00°, γ = 120.00°
Positions (direct):
Dy: 0.6667 0.3333 0.4283
O: 0.3333 0.6667 0.6715
Er: 0.0000 0.0000 0.9002

Record 3
KNdMgF6: optimized geometry, PBE.

Its calculated volume is 289.11 Å³ per cell. For the uncorrected energy, the calculation gives -5.651 eV/atom. The calculation puts the total magnetic moment at 0.0 μB/cell. The calculation puts the uncorrected formation energy at -32.2 eV/f.u. As for the symmetry: No. 74.

a = 7.7880 Å, b = 7.2745 Å, c = 7.3780 Å
α = 119.54°, β = 121.86°, γ = 90.00°
Positions (direct):
K: 0.8297 0.5797 0.6594
K: 0.1703 0.4203 0.3406
Nd: 0.5000 0.0000 0.5000
Nd: 0.0000 0.0000 0.5000
Mg: 0.5000 0.5000 0.0000
Mg: 0.5000 0.0000 0.0000
F: 0.5831 0.8331 0.1661
F: 0.8730 0.1230 0.7461
F: 0.8191 0.1602 0.2674
F: 0.4483 0.6072 0.2674
F: 0.4483 0.1602 0.2674
F: 0.8191 0.6072 0.2674
F: 0.4169 0.1669 0.8339
F: 0.1270 0.8770 0.2539
F: 0.1809 0.8398 0.7326
F: 0.5517 0.3928 0.7326
F: 0.5517 0.8398 0.7326
F: 0.1809 0.3928 0.7326

Record 4
Li2ZnI4: optimized geometry, PBE.

Its calculated volume is 916.54 Å³ per cell. The energy above the most stable polymorph in this dataset comes out at 19 meV/atom. For the uncorrected energy, the calculation gives -2.539 eV/atom. The calculation puts the total magnetic moment at 0.0 μB/cell. The calculation puts the uncorrected formation energy at -6.5 eV/f.u. As for the symmetry: No. 62.

a = 7.0691 Å, b = 8.6581 Å, c = 14.9749 Å
α = 90.00°, β = 90.00°, γ = 90.00°
Positions (direct):
Li: 0.0000 0.0000 0.0000
Li: 0.5000 0.0000 0.5000
Li: 0.0000 0.5000 0.0000
Li: 0.5000 0.5000 0.5000
Li: 0.9964 0.7500 0.2622
Li: 0.4964 0.2500 0.2378
Li: 0.0036 0.2500 0.7378
Li: 0.5036 0.7500 0.7622
Zn: 0.5963 0.7500 0.0865
Zn: 0.0963 0.2500 0.4135
Zn: 0.4037 0.2500 0.9135
Zn: 0.9037 0.7500 0.5865
I: 0.2265 0.7500 0.0888
I: 0.7265 0.2500 0.4112
I: 0.7735 0.2500 0.9112
I: 0.2735 0.7500 0.5888
I: 0.7487 0.7500 0.4247
I: 0.2487 0.2500 0.0753
I: 0.2513 0.2500 0.5753
I: 0.7513 0.7500 0.9247
I: 0.7537 0.9915 0.1667
I: 0.2537 0.0085 0.3333
I: 0.2463 0.4915 0.8333
I: 0.7463 0.5085 0.6667
I: 0.2463 0.0085 0.8333
I: 0.7463 0.9915 0.6667
I: 0.7537 0.5085 0.1667
I: 0.2537 0.4915 0.3333

Record 5
CeNiRu: optimized geometry, PBE.

Its calculated volume is 56.53 Å³ per cell. The calculated formation energy is -0.22 eV/atom. The energy above the most stable polymorph in this dataset comes out at 165 meV/atom. For the uncorrected energy, the calculation gives -7.221 eV/atom. The calculation puts the total magnetic moment at 0.0 μB/cell. As for the symmetry: No. 187.

a = 3.8124 Å, b = 4.1377 Å, c = 4.1377 Å
α = 120.00°, β = 90.00°, γ = 90.00°
Positions (direct):
Ru: 0.1666 0.0000 0.0000
Ce: 0.6667 0.6667 0.3333
Ni: 0.1667 0.3333 0.6667

Record 6
BeCd4Os: optimized geometry, PBE.

Its calculated volume is 113.47 Å³ per cell. The calculated formation energy is 0.93 eV/atom. For the uncorrected energy, the calculation gives -2.175 eV/atom. The calculation puts the total magnetic moment at 0.0 μB/cell. As for the symmetry: No. 216.

a = 5.4341 Å, b = 5.4341 Å, c = 5.4341 Å
α = 60.00°, β = 60.00°, γ = 60.00°
Positions (direct):
Be: 0.0000 0.0000 0.0000
Cd: 0.8741 0.3753 0.3753
Cd: 0.3753 0.3753 0.8741
Cd: 0.3753 0.8741 0.3753
Cd: 0.3753 0.3753 0.3753
Os: 0.7500 0.7500 0.7500

Record 7
Li2CrCuH6: optimized geometry, PBE.

Its calculated volume is 156.67 Å³ per cell. For the uncorrected energy, the calculation gives -3.850 eV/atom. The calculation puts the total magnetic moment at 6.0 μB/cell. As for the symmetry: No. 14.

a = 4.7304 Å, b = 4.8533 Å, c = 6.8243 Å
α = 90.00°, β = 89.60°, γ = 90.00°
Positions (direct):
Li: 0.0098 0.9629 0.2485
Li: 0.5098 0.5371 0.7485
Li: 0.9902 0.0371 0.7515
Li: 0.4902 0.4629 0.2515
Cr: 0.5000 0.0000 0.5000
Cr: 0.0000 0.5000 0.0000
Cu: 0.5000 0.0000 0.0000
Cu: 0.0000 0.5000 0.5000
H: 0.2936 0.7033 0.0536
H: 0.7936 0.7967 0.5536
H: 0.7064 0.2967 0.9464
H: 0.2064 0.2033 0.4464
H: 0.2994 0.7081 0.4479
H: 0.7994 0.7919 0.9479
H: 0.7006 0.2919 0.5521
H: 0.2006 0.2081 0.0521
H: 0.9006 0.5379 0.2458
H: 0.4006 0.9621 0.7458
H: 0.0994 0.4621 0.7542
H: 0.5994 0.0379 0.2542

Record 8
HgGeIN2: optimized geometry, PBE.

Its calculated volume is 129.00 Å³ per cell. The energy above the most stable polymorph in this dataset comes out at 609 meV/atom. For the uncorrected energy, the calculation gives -2.769 eV/atom. The calculation puts the total magnetic moment at 2.3 μB/cell. The calculation puts the uncorrected formation energy at 9.3 eV/f.u. As for the symmetry: No. 123.

a = 4.3497 Å, b = 4.3497 Å, c = 6.8183 Å
α = 90.00°, β = 90.00°, γ = 90.00°
Positions (direct):
I: 0.0000 0.0000 0.5000
Ge: 0.5000 0.5000 0.5000
Hg: 0.0000 0.0000 0.0000
N: 0.0000 0.5000 0.0000
N: 0.5000 0.0000 0.0000

Record 9
CoTcNi2Ru: optimized geometry, PBE.

Its calculated volume is 74.53 Å³ per cell. The calculated formation energy is 1.33 eV/atom. The energy above the most stable polymorph in this dataset comes out at 0 meV/atom. For the uncorrected energy, the calculation gives -6.335 eV/atom. The calculation puts the total magnetic moment at 1.9 μB/cell. As for the symmetry: No. 123.

a = 4.1790 Å, b = 4.2678 Å, c = 4.1790 Å
α = 90.00°, β = 90.00°, γ = 90.00°
Positions (direct):
Ru: 0.5000 0.5000 0.5000
Co: 0.0000 0.0000 0.0000
Tc: 0.0000 0.5000 0.0000
Ni: 0.0000 0.0000 0.5000
Ni: 0.5000 0.0000 0.0000

Record 10
Ce3CN: optimized geometry, PBE.

Its calculated volume is 197.82 Å³ per cell. For the uncorrected energy, the calculation gives -7.665 eV/atom. The calculation puts the total magnetic moment at 1.6 μB/cell. The calculation puts the uncorrected formation energy at -3.0 eV/f.u. As for the symmetry: No. 188.

a = 6.1474 Å, b = 6.0957 Å, c = 6.0957 Å
α = 120.00°, β = 90.00°, γ = 90.00°
Positions (direct):
Ce: 0.7500 0.3359 0.3161
Ce: 0.7500 0.9801 0.6641
Ce: 0.7500 0.6839 0.0199
Ce: 0.2500 0.6839 0.6641
Ce: 0.2500 0.3359 0.0199
Ce: 0.2500 0.9801 0.3161
C: 0.0000 0.0000 0.0000
C: 0.5000 0.0000 0.0000
N: 0.5000 0.6667 0.3333
N: 0.0000 0.6667 0.3333

Record 11
Ac6Tl2Ir: optimized geometry, PBE.

Its calculated volume is 718.36 Å³ per cell. The calculated formation energy is -0.33 eV/atom. For the uncorrected energy, the calculation gives -4.579 eV/atom. The calculation puts the total magnetic moment at 0.0 μB/cell. As for the symmetry: No. 14.

a = 7.7389 Å, b = 8.1279 Å, c = 11.4278 Å
α = 90.00°, β = 92.06°, γ = 90.00°
Positions (direct):
Ac: 0.8956 0.9819 0.2504
Ac: 0.8160 0.6886 0.5451
Ac: 0.8096 0.6920 0.9538
Ac: 0.6904 0.1920 0.5462
Ac: 0.6840 0.1886 0.9549
Ac: 0.6044 0.4819 0.2496
Ac: 0.1044 0.0181 0.7496
Ac: 0.1840 0.3114 0.4549
Ac: 0.1904 0.3080 0.0462
Ac: 0.3096 0.8080 0.4538
Ac: 0.3160 0.8114 0.0451
Ac: 0.3956 0.5181 0.7504
Tl: 0.9640 0.4204 0.7570
Tl: 0.5360 0.9204 0.7430
Tl: 0.4640 0.0796 0.2570
Tl: 0.0360 0.5796 0.2430
Ir: 0.5000 0.5000 0.0000
Ir: 0.0000 0.0000 0.5000

Record 12
NbHgSe2Br: optimized geometry, PBE.

Its calculated volume is 136.81 Å³ per cell. The energy above the most stable polymorph in this dataset comes out at 0 meV/atom. For the uncorrected energy, the calculation gives -4.085 eV/atom. The calculation puts the total magnetic moment at 0.0 μB/cell. The calculation puts the uncorrected formation energy at -1.4 eV/f.u. As for the symmetry: No. 123.

a = 5.0509 Å, b = 5.0509 Å, c = 5.3627 Å
α = 90.00°, β = 90.00°, γ = 90.00°
Positions (direct):
Nb: 0.0000 0.0000 0.0000
Se: 0.0000 0.5000 0.0000
Se: 0.5000 0.0000 0.0000
Hg: 0.5000 0.5000 0.5000
Br: 0.0000 0.0000 0.5000

Record 13
CaOsBrO4: optimized geometry, PBE.

Its calculated volume is 342.46 Å³ per cell. For the uncorrected energy, the calculation gives -6.457 eV/atom. The calculation puts the total magnetic moment at 2.1 μB/cell. The calculation puts the uncorrected formation energy at -10.5 eV/f.u. As for the symmetry: No. 12.

a = 6.5040 Å, b = 6.5040 Å, c = 9.7084 Å
α = 67.86°, β = 67.86°, γ = 69.88°
Positions (direct):
Ca: 0.1904 0.1904 0.7982
Ca: 0.8096 0.8096 0.2018
Os: 0.6147 0.6147 0.6823
Os: 0.3853 0.3853 0.3177
Br: 0.1054 0.1054 0.1224
Br: 0.8946 0.8946 0.8776
O: 0.3009 0.3009 0.5224
O: 0.6991 0.6991 0.4776
O: 0.1414 0.5272 0.2517
O: 0.5690 0.5690 0.2531
O: 0.4728 0.8586 0.7483
O: 0.5272 0.1414 0.2517
O: 0.4310 0.4310 0.7469
O: 0.8586 0.4728 0.7483

Record 14
MnAgRh2: optimized geometry, PBE.

Its calculated volume is 59.37 Å³ per cell. The calculated formation energy is 0.14 eV/atom. The energy above the most stable polymorph in this dataset comes out at 100 meV/atom. For the uncorrected energy, the calculation gives -6.536 eV/atom. The calculation puts the total magnetic moment at 2.7 μB/cell. As for the symmetry: No. 139.

a = 4.7129 Å, b = 4.7129 Å, c = 4.7129 Å
α = 130.36°, β = 130.36°, γ = 72.83°
Positions (direct):
Ag: 0.2500 0.7500 0.5000
Mn: 0.7500 0.2500 0.5000
Rh: 0.0000 0.0000 0.0000
Rh: 0.5000 0.5000 0.0000

Record 15
Mn2H2I: optimized geometry, PBE.

Its calculated volume is 155.33 Å³ per cell. The energy above the most stable polymorph in this dataset comes out at 346 meV/atom. For the uncorrected energy, the calculation gives -4.771 eV/atom. The calculation puts the total magnetic moment at 17.5 μB/cell. As for the symmetry: No. 127.

a = 5.8062 Å, b = 5.8062 Å, c = 4.6076 Å
α = 90.00°, β = 90.00°, γ = 90.00°
Positions (direct):
I: 0.0000 0.0000 0.0000
I: 0.5000 0.5000 0.0000
H: 0.4534 0.9534 0.0000
H: 0.9534 0.5466 0.0000
H: 0.5466 0.0466 0.0000
H: 0.0466 0.4534 0.0000
Mn: 0.1701 0.6701 0.5000
Mn: 0.6701 0.8299 0.5000
Mn: 0.8299 0.3299 0.5000
Mn: 0.3299 0.1701 0.5000

Record 16
Ac8Ni3N: optimized geometry, PBE.

Its calculated volume is 409.33 Å³ per cell. For the uncorrected energy, the calculation gives -5.135 eV/atom. The calculation puts the total magnetic moment at 1.5 μB/cell. The calculation puts the uncorrected formation energy at -3.1 eV/f.u. As for the symmetry: No. 166.

a = 8.4310 Å, b = 8.4281 Å, c = 8.2409 Å
α = 120.74°, β = 90.00°, γ = 120.01°
Positions (direct):
Ac: 0.2558 0.5116 0.7679
Ac: 0.7442 0.4884 0.2321
Ac: 0.2292 0.9981 0.7667
Ac: 0.7690 0.9981 0.7667
Ac: 0.7685 0.5370 0.7657
Ac: 0.2315 0.4630 0.2343
Ac: 0.2310 0.0019 0.2333
Ac: 0.7708 0.0019 0.2333
Ni: 0.5000 0.0000 0.0000
Ni: 0.5000 0.5000 0.0000
Ni: 0.0000 0.5000 0.0000
N: 0.0000 0.0000 0.0000

Record 17
YSc3: optimized geometry, PBE.

Its calculated volume is 105.39 Å³ per cell. The calculated formation energy is 0.06 eV/atom. The energy above the most stable polymorph in this dataset comes out at 44 meV/atom. For the uncorrected energy, the calculation gives -6.302 eV/atom. The calculation puts the total magnetic moment at 0.0 μB/cell. As for the symmetry: No. 139.

a = 4.7321 Å, b = 5.7720 Å, c = 4.7363 Å
α = 65.78°, β = 90.00°, γ = 114.20°
Positions (direct):
Y: 0.7500 0.5000 0.7500
Sc: 0.9999 0.9998 0.0001
Sc: 0.2500 0.5000 0.2500
Sc: 0.5001 0.0002 0.4999

Record 18
YReAg2: optimized geometry, PBE.

Its calculated volume is 77.53 Å³ per cell. The calculated formation energy is 0.47 eV/atom. The energy above the most stable polymorph in this dataset comes out at 82 meV/atom. For the uncorrected energy, the calculation gives -5.687 eV/atom. The calculation puts the total magnetic moment at 1.4 μB/cell. As for the symmetry: No. 119.

a = 5.2657 Å, b = 5.2657 Å, c = 5.2657 Å
α = 132.64°, β = 132.64°, γ = 69.22°
Positions (direct):
Ag: 0.0000 0.0000 0.0000
Ag: 0.2500 0.7500 0.5000
Re: 0.5000 0.5000 0.0000
Y: 0.7500 0.2500 0.5000

Record 19
TaAg2Ir: optimized geometry, PBE.

Its calculated volume is 67.00 Å³ per cell. The calculated formation energy is 0.43 eV/atom. The energy above the most stable polymorph in this dataset comes out at 408 meV/atom. For the uncorrected energy, the calculation gives -6.171 eV/atom. The calculation puts the total magnetic moment at 0.0 μB/cell. As for the symmetry: No. 123.

a = 2.7762 Å, b = 2.7762 Å, c = 8.6929 Å
α = 90.00°, β = 90.00°, γ = 90.00°
Positions (direct):
Ir: 0.5000 0.5000 0.2500
Ag: 0.0000 0.0000 0.0068
Ag: 0.0000 0.0000 0.4932
Ta: 0.5000 0.5000 0.7500

Record 20
CeLuBiAu: optimized geometry, PBE.

Its calculated volume is 106.45 Å³ per cell. The calculated formation energy is -0.56 eV/atom. For the uncorrected energy, the calculation gives -4.963 eV/atom. The calculation puts the total magnetic moment at 2.1 μB/cell. As for the symmetry: No. 216.

a = 5.3198 Å, b = 5.3198 Å, c = 5.3198 Å
α = 60.00°, β = 60.00°, γ = 60.00°
Positions (direct):
Lu: 0.2500 0.2500 0.2500
Au: 0.0000 0.0000 0.0000
Bi: 0.5000 0.5000 0.5000
Ce: 0.7500 0.7500 0.7500